1.
Density functional theory data (GGA+U) for crystalline PuScNiO6 at its relaxed geometry.

Structure (POSCAR):
```
PuScNiO6
1.0
5.1956 0.0000 0.0000
-2.5978 4.4995 0.0000
0.0000 0.0000 9.3939
Pu Sc Ni O
2 2 2 12
Direct
0.3333 0.6667 0.2500
0.6667 0.3333 0.7500
0.0000 0.0000 0.0000
0.0000 0.0000 0.5000
0.3333 0.6667 0.7500
0.6667 0.3333 0.2500
0.0091 0.3431 0.1313
0.0091 0.6660 0.3687
0.3340 0.3431 0.3687
0.3340 0.9909 0.1313
0.3431 0.0091 0.6313
0.3431 0.3340 0.8687
0.6569 0.6660 0.1313
0.6569 0.9909 0.3687
0.6660 0.0091 0.8687
0.6660 0.6569 0.6313
0.9909 0.3340 0.6313
0.9909 0.6569 0.8687
```

Computed properties:
**SG**: P-31c, No. 163
**VASP energy**: -147.698 eV per cell
**Calculated volume**: 219.6 Å³/cell

2.
Density functional theory data (GGA+U) for crystalline Sm2PuNiO8 at its relaxed geometry.

Structure (POSCAR):
```
Sm2PuNiO8
1.0
4.2392 0.0000 0.0000
0.8865 5.1967 0.0000
0.5128 1.1314 7.3930
Sm Pu Ni O
2 1 1 8
Direct
0.0303 0.0558 0.2308
0.9697 0.9442 0.7692
0.5000 0.5000 0.5000
0.5000 0.5000 0.0000
0.0851 0.7258 0.5116
0.1635 0.7492 0.0405
0.4092 0.2211 0.6796
0.4589 0.3137 0.2390
0.5411 0.6863 0.7610
0.5908 0.7789 0.3204
0.8366 0.2508 0.9595
0.9149 0.2742 0.4884
```

Computed properties:
**SG**: P-1, No. 2
**VASP energy**: -94.604 eV per cell
**Calculated volume**: 162.9 Å³/cell

3.
Density functional theory data (GGA+U) for crystalline PuNi2SnO6 at its relaxed geometry.

Structure (POSCAR):
```
PuNi2SnO6
1.0
5.9855 0.0000 0.0000
0.0000 5.9855 0.0000
0.0000 0.0000 4.0271
Pu Ni Sn O
1 2 1 6
Direct
0.0000 0.0000 0.0000
0.0000 0.5000 0.0000
0.5000 0.0000 0.0000
0.5000 0.5000 0.0000
0.0000 0.0000 0.5000
0.2499 0.2499 0.0000
0.2499 0.7501 0.0000
0.5000 0.5000 0.5000
0.7501 0.2499 0.0000
0.7501 0.7501 0.0000
```

Computed properties:
**SG**: P4/mmm, No. 123
**VASP energy**: -66.992 eV per cell
**Calculated volume**: 144.3 Å³/cell

4.
Density functional theory data (GGA+U) for crystalline SrPuNiO6 at its relaxed geometry.

Structure (POSCAR):
```
SrPuNiO6
1.0
5.3319 0.0000 0.0000
-2.6660 4.6176 0.0000
0.0000 0.0000 10.9063
Sr Pu Ni O
2 2 2 12
Direct
0.0000 0.0000 0.0000
0.0000 0.0000 0.5000
0.3333 0.6667 0.2500
0.6667 0.3333 0.7500
0.3333 0.6667 0.7500
0.6667 0.3333 0.2500
0.0128 0.3763 0.1471
0.0128 0.6365 0.3529
0.3635 0.3763 0.3529
0.3635 0.9872 0.1471
0.3763 0.0128 0.6471
0.3763 0.3635 0.8529
0.6237 0.6365 0.1471
0.6237 0.9872 0.3529
0.6365 0.0128 0.8529
0.6365 0.6237 0.6471
0.9872 0.3635 0.6471
0.9872 0.6237 0.8529
```

Computed properties:
**SG**: P-31c, No. 163
**VASP energy**: -133.704 eV per cell
**Calculated volume**: 268.5 Å³/cell